Below is TaCu2As at its PBEsol-relaxed geometry, with properties calculated at the meta-GGA SCAN level.

a b c (Å): 2.856 3.386 5.816
angles (deg): 90.00 90.00 90.00
Element x y z (fractional)
As1 0.500 0.500 0.767
Cu1 0.000 0.000 0.021
Cu2 0.500 0.500 0.216
Ta1 0.000 0.000 0.496

Computed properties:
Formation enthalpy at 0 K ... 0.039 eV/atom
Space group ... Pmm2

Below is MnSn2 at its PBEsol-relaxed geometry, with properties calculated at the meta-GGA SCAN level.

a b c (Å): 5.299 5.299 5.299
angles (deg): 104.59 104.59 119.75
Element x y z (fractional)
Mn1 0.750 0.750 0.000
Mn2 0.250 0.250 0.000
Sn1 0.664 0.164 0.828
Sn2 0.336 0.836 0.172
Sn3 0.836 0.664 0.500
Sn4 0.164 0.336 0.500

Computed properties:
Formation enthalpy at 0 K ... 0.001 eV/atom
Space group ... I4/mcm

Below is GaTe2Pd at its PBEsol-relaxed geometry, with properties calculated at the meta-GGA SCAN level.

a b c (Å): 3.925 3.925 8.852
angles (deg): 77.19 77.19 60.00
Element x y z (fractional)
Te1 0.888 0.888 0.335
Te2 0.112 0.112 0.665
Ga1 0.000 0.000 0.000
Pd1 0.500 0.500 0.500

Computed properties:
Space group ... R-3m
Raw formation energy ... -10.4 meV per atom

Q: Which formula does entry 1 have?
A: TaCu2As